BeSeN3 | PBE | optimized geometry

Calculated values
Uncorrected energy ... -4.317 eV/atom

abc: 3.682 3.682 3.682
angles: 90.00 90.00 90.00
Element x y z (fractional)
1 N 0.500 0.000 0.000
2 N 0.000 0.500 0.000
3 N 0.000 0.000 0.500
4 Be 0.500 0.500 0.500
5 Se 0.000 0.000 0.000

La2ErOsC2 | PBE | optimized geometry

Calculated values
Uncorrected energy ... -7.383 eV/atom
Formation energy from the elements ... -0.033 eV/atom

abc: 3.845 5.751 11.381
angles: 90.00 90.00 90.00
Element x y z (fractional)
1 C 0.500 0.220 0.599
2 C 0.500 0.780 0.401
3 C 0.000 0.280 0.099
4 C 0.000 0.720 0.901
5 Os 0.500 0.500 0.500
6 Os 0.000 0.000 0.000
7 Er 0.500 0.500 0.000
8 Er 0.000 0.000 0.500
9 La 0.000 0.554 0.292
10 La 0.000 0.446 0.708
11 La 0.500 0.054 0.208
12 La 0.500 0.946 0.792

RbTlRh2 | PBE | optimized geometry

Calculated values
Uncorrected energy ... -3.935 eV/atom
Formation energy from the elements ... 0.575 eV/atom
Relative energy among the computed polymorphs ... 0 meV/atom

abc: 4.931 4.931 10.167
angles: 75.97 75.97 90.00
Element x y z (fractional)
1 Rh 0.946 0.625 0.250
2 Rh 0.375 0.196 0.750
3 Rh 0.875 0.054 0.750
4 Rh 0.804 0.125 0.250
5 Tl 0.000 0.000 0.000
6 Tl 0.750 0.250 0.500
7 Rb 0.250 0.750 0.500
8 Rb 0.500 0.500 0.000

SrCd2Sn2Au2 | PBE | optimized geometry

Calculated values
Uncorrected energy ... -2.942 eV/atom
Formation energy from the elements ... -0.360 eV/atom

abc: 4.693 4.693 9.783
angles: 76.12 76.12 60.00
Element x y z (fractional)
1 Cd 0.863 0.863 0.411
2 Cd 0.137 0.137 0.589
3 Au 0.240 0.240 0.280
4 Au 0.760 0.760 0.720
5 Sn 0.593 0.593 0.222
6 Sn 0.407 0.407 0.778
7 Sr 0.000 0.000 0.000

Tb6Er2Se3 | PBE | optimized geometry

Calculated values
Uncorrected energy ... -5.191 eV/atom

abc: 3.805 3.805 25.266
angles: 85.68 85.68 60.00
Element x y z (fractional)
1 Tb 0.815 0.815 0.555
2 Tb 0.926 0.926 0.222
3 Tb 0.642 0.642 0.074
4 Tb 0.074 0.074 0.778
5 Tb 0.358 0.358 0.926
6 Tb 0.185 0.185 0.445
7 Er 0.556 0.556 0.333
8 Er 0.444 0.444 0.667
9 Se 0.000 0.000 0.000
10 Se 0.285 0.285 0.146
11 Se 0.715 0.715 0.854

LaTlSi2 | PBE | optimized geometry

Calculated values
Uncorrected energy ... -4.214 eV/atom
Relative energy among the computed polymorphs ... 554 meV/atom

abc: 9.489 9.489 9.489
angles: 21.38 21.38 21.38
Element x y z (fractional)
1 Tl 0.250 0.250 0.250
2 Si 0.996 0.996 0.996
3 Si 0.504 0.504 0.504
4 La 0.750 0.750 0.750

The evaluated magnetic moment for the records listed, in turn: 0.00; 0.00; 0.64; 0.00; 0.00; 0.00 μB per formula unit.
The evaluated N(E_F) for the records listed, in turn: 2.17; 5.33; 4.53; 3.11; 10.76; 1.79 states/eV/f.u..